# 1
The following is a DFT calculation (GGA-PBE) of Ca2Mg6GaAg after structural relaxation.

Calculated values
Electronic total energy, eV for the cell shown: -40.3
ΔE_f, kJ/mol of atoms: -7.0

Unit cell a=8.023 b=9.827 c=6.676 alpha=90.00 beta=90.00 gamma=90.00
Element x y z (fractional)
Ca 0.250 0.001 0.244
Ca 0.250 0.499 0.244
Ca 0.750 0.501 0.756
Ca 0.750 0.999 0.756
Mg 0.060 0.750 0.927
Mg 0.064 0.250 0.562
Mg 0.250 0.001 0.746
Mg 0.250 0.499 0.746
Mg 0.436 0.250 0.562
Mg 0.440 0.750 0.927
Mg 0.560 0.250 0.073
Mg 0.564 0.750 0.438
Mg 0.750 0.501 0.254
Mg 0.750 0.999 0.254
Mg 0.936 0.750 0.438
Mg 0.940 0.250 0.073
Ga 0.250 0.250 0.935
Ga 0.750 0.750 0.065
Ag 0.250 0.750 0.565
Ag 0.750 0.250 0.435

---

# 2
The following is a DFT calculation (GGA-PBE) of Ac2MgGe3Au12 after structural relaxation.

Calculated values
Electronic total energy, eV for the cell shown: -65.8
ΔE_f, kJ/mol of atoms: -15.3

Unit cell a=8.080 b=8.080 c=8.080 alpha=69.90 beta=69.90 gamma=69.90
Element x y z (fractional)
Ac 0.111 0.111 0.111
Ac 0.889 0.889 0.889
Mg 0.500 0.500 0.500
Ge 0.000 0.500 0.500
Ge 0.500 0.000 0.500
Ge 0.500 0.500 0.000
Au 0.141 0.640 0.640
Au 0.186 0.186 0.664
Au 0.186 0.664 0.186
Au 0.336 0.814 0.814
Au 0.360 0.360 0.859
Au 0.360 0.859 0.360
Au 0.640 0.141 0.640
Au 0.640 0.640 0.141
Au 0.664 0.186 0.186
Au 0.814 0.336 0.814
Au 0.814 0.814 0.336
Au 0.859 0.360 0.360

---

> Number 2 is which compound?

Ac2MgGe3Au12

---

> Look up the ΔE_f of the first one.

-7.0 kJ/mol of atoms